# Rb8Pt, optimized geometry, DFT PBE
# Mass density, g/cm³: 2.12
# Final energy, eV per atom: -1.45
# Formation energy from the elements, eV per atom: 0.08
data_Rb8Pt
_space_group_name_H-M_alt 'I 4/m m m'
_space_group_IT_number 139
_space_group_name_Hall '-I 4 2'
_cell_length_a 17.2422
_cell_length_b 17.2422
_cell_length_c 4.6344
_cell_angle_alpha 90.00
_cell_angle_beta 90.00
_cell_angle_gamma 90.00
loop_
_atom_site_label
_atom_site_fract_x
_atom_site_fract_y
_atom_site_fract_z
Rb1 0.0000 0.3312 0.0000
Rb2 0.1102 0.1102 0.5000
Pt1 0.0000 0.0000 0.0000

# GaAs2BrN, optimized geometry, DFT PBE
# Mass density, g/cm³: 3.86
# Final energy, eV per atom: -3.01
# Formation energy (no corrections), eV per formula unit: 7.27
data_GaAs2BrN
_space_group_name_H-M_alt 'P 4/m m m'
_space_group_IT_number 123
_space_group_name_Hall '-P 4 2'
_cell_length_a 5.0253
_cell_length_b 5.0253
_cell_length_c 5.3459
_cell_angle_alpha 90.00
_cell_angle_beta 90.00
_cell_angle_gamma 90.00
loop_
_atom_site_label
_atom_site_fract_x
_atom_site_fract_y
_atom_site_fract_z
Ga1 0.0000 0.0000 0.0000
As1 0.0000 0.5000 0.0000
Br1 0.0000 0.0000 0.5000
N1 0.5000 0.5000 0.5000

# Zr2PtI, optimized geometry, DFT PBE
# Mass density, g/cm³: 10.00
# Final energy, eV per atom: -6.48
# Formation energy (no corrections), eV per formula unit: -1.24
data_Zr2PtI
_space_group_name_H-M_alt 'F m -3 m'
_space_group_IT_number 225
_space_group_name_Hall '-F 4 2 3'
_cell_length_a 6.9460
_cell_length_b 6.9460
_cell_length_c 6.9460
_cell_angle_alpha 90.00
_cell_angle_beta 90.00
_cell_angle_gamma 90.00
loop_
_atom_site_label
_atom_site_fract_x
_atom_site_fract_y
_atom_site_fract_z
Zr1 0.2500 0.2500 0.2500
Pt1 0.0000 0.0000 0.0000
I1 0.0000 0.0000 0.5000

# ScHgN3, optimized geometry, DFT PBE
# Mass density, g/cm³: 6.94
# Final energy, eV per atom: -4.63
# Formation energy (no corrections), eV per formula unit: 8.45
data_ScHgN3
_space_group_name_H-M_alt 'P m -3 m'
_space_group_IT_number 221
_space_group_name_Hall '-P 4 2 3'
_cell_length_a 4.0983
_cell_length_b 4.0983
_cell_length_c 4.0983
_cell_angle_alpha 90.00
_cell_angle_beta 90.00
_cell_angle_gamma 90.00
loop_
_atom_site_label
_atom_site_fract_x
_atom_site_fract_y
_atom_site_fract_z
Sc1 0.0000 0.0000 0.0000
Hg1 0.5000 0.5000 0.5000
N1 0.0000 0.5000 0.5000

# Pu2Sb3Rh4, optimized geometry, DFT PBE
# Mass density, g/cm³: 11.66
# Final energy, eV per atom: -8.39
# Formation energy (no corrections), eV per formula unit: -5.06
data_Pu2Sb3Rh4
_space_group_name_H-M_alt 'C m c e'
_space_group_IT_number 64
_space_group_name_Hall '-C 2ac 2'
_cell_length_a 6.1445
_cell_length_b 15.9153
_cell_length_c 7.3712
_cell_angle_alpha 90.00
_cell_angle_beta 90.00
_cell_angle_gamma 90.00
loop_
_atom_site_label
_atom_site_fract_x
_atom_site_fract_y
_atom_site_fract_z
Pu1 0.0000 0.0957 0.0899
Sb1 0.0000 0.0000 0.5000
Sb2 0.2500 0.2406 0.7500
Rh1 0.0000 0.1701 0.4822
Rh2 0.2500 0.0720 0.7500

# ZrCdB2, optimized geometry, DFT PBE
# Mass density, g/cm³: 5.83
# Final energy, eV per atom: -4.82
# Formation energy from the elements, eV per atom: 0.88
data_ZrCdB2
_space_group_name_H-M_alt 'I -4 2 d'
_space_group_IT_number 122
_space_group_name_Hall 'I -4 2bw'
_cell_length_a 4.2301
_cell_length_b 4.2301
_cell_length_c 14.3395
_cell_angle_alpha 90.00
_cell_angle_beta 90.00
_cell_angle_gamma 90.00
loop_
_atom_site_label
_atom_site_fract_x
_atom_site_fract_y
_atom_site_fract_z
Zr1 0.0000 0.0000 0.0000
Cd1 0.0000 0.0000 0.5000
B1 0.1651 0.2500 0.6250

# Pd7Pt2Pb, optimized geometry, DFT PBE
# Mass density, g/cm³: 10.65
# Final energy, eV per atom: -4.86
# Formation energy from the elements, eV per atom: 0.35
data_Pd7Pt2Pb
_space_group_name_H-M_alt 'C m m m'
_space_group_IT_number 65
_space_group_name_Hall '-C 2 2'
_cell_length_a 7.2807
_cell_length_b 12.9063
_cell_length_c 4.4549
_cell_angle_alpha 90.00
_cell_angle_beta 90.00
_cell_angle_gamma 90.00
loop_
_atom_site_label
_atom_site_fract_x
_atom_site_fract_y
_atom_site_fract_z
Pd1 0.0000 0.0000 0.0000
Pd2 0.0000 0.2933 0.5000
Pd3 0.1821 0.3891 0.0000
Pt1 0.0000 0.1986 0.0000
Pb1 0.0000 0.5000 0.5000

# Rh3Au, optimized geometry, DFT PBE
# Mass density, g/cm³: 13.84
# Final energy, eV per atom: -6.21
# Formation energy from the elements, eV per atom: 0.13
data_Rh3Au
_space_group_name_H-M_alt 'R -3 m'
_space_group_IT_number 166
_space_group_name_Hall '-R 3 2"'
_cell_length_a 2.7835
_cell_length_b 2.7835
_cell_length_c 27.1176
_cell_angle_alpha 90.00
_cell_angle_beta 90.00
_cell_angle_gamma 120.00
loop_
_atom_site_label
_atom_site_fract_x
_atom_site_fract_y
_atom_site_fract_z
Rh1 0.0000 0.0000 0.0000
Rh2 0.0000 0.0000 0.2545
Au1 0.0000 0.0000 0.5000

# BaAc8Pb6, optimized geometry, DFT PBE
# Mass density, g/cm³: 8.45
# Final energy, eV per atom: -4.21
# Formation energy from the elements, eV per atom: -0.41
data_BaAc8Pb6
_space_group_name_H-M_alt 'R -3'
_space_group_IT_number 148
_space_group_name_Hall '-R 3'
_cell_length_a 10.1348
_cell_length_b 10.1348
_cell_length_c 21.1850
_cell_angle_alpha 90.00
_cell_angle_beta 90.00
_cell_angle_gamma 120.00
loop_
_atom_site_label
_atom_site_fract_x
_atom_site_fract_y
_atom_site_fract_z
Ba1 0.0000 0.0000 0.0000
Ac1 0.0000 0.0000 0.3325
Ac2 0.0014 0.6731 0.1015
Pb1 0.0007 0.6598 0.9304

# LuHfOsPd, optimized geometry, DFT PBE
# Mass density, g/cm³: 14.64
# Final energy, eV per atom: -8.40
# Formation energy from the elements, eV per atom: -0.67
data_LuHfOsPd
_space_group_name_H-M_alt 'F -4 3 m'
_space_group_IT_number 216
_space_group_name_Hall 'F -4 2 3'
_cell_length_a 6.6561
_cell_length_b 6.6561
_cell_length_c 6.6561
_cell_angle_alpha 90.00
_cell_angle_beta 90.00
_cell_angle_gamma 90.00
loop_
_atom_site_label
_atom_site_fract_x
_atom_site_fract_y
_atom_site_fract_z
Lu1 0.0000 0.0000 0.0000
Hf1 0.0000 0.0000 0.5000
Os1 0.2500 0.2500 0.2500
Pd1 0.2500 0.2500 0.7500

# Mn2CoHgN, optimized geometry, DFT PBE
# Mass density, g/cm³: 10.09
# Final energy, eV per atom: -6.83
# Formation energy (no corrections), eV per formula unit: -0.10
data_Mn2CoHgN
_space_group_name_H-M_alt 'P 4/m m m'
_space_group_IT_number 123
_space_group_name_Hall '-P 4 2'
_cell_length_a 4.0314
_cell_length_b 4.0314
_cell_length_c 3.8818
_cell_angle_alpha 90.00
_cell_angle_beta 90.00
_cell_angle_gamma 90.00
loop_
_atom_site_label
_atom_site_fract_x
_atom_site_fract_y
_atom_site_fract_z
Mn1 0.0000 0.5000 0.0000
Co1 0.0000 0.0000 0.5000
Hg1 0.5000 0.5000 0.5000
N1 0.0000 0.0000 0.0000

# SrPaSi2S8, optimized geometry, DFT PBE
# Mass density, g/cm³: 3.56
# Final energy, eV per atom: -5.55
# Formation energy (no corrections), eV per formula unit: -11.60
data_SrPaSi2S8
_space_group_name_H-M_alt 'P -3'
_space_group_IT_number 147
_cell_length_a 6.1701
_cell_length_b 6.1701
_cell_length_c 8.9236
_cell_angle_alpha 90.00
_cell_angle_beta 90.00
_cell_angle_gamma 120.00
loop_
_space_group_symop_operation_xyz
'x,y,z'
'-x,-y,-z'
'-y,x-y,z'
'y,-x+y,-z'
'-x+y,-x,z'
'x-y,x,-z'
loop_
_atom_site_label
_atom_site_fract_x
_atom_site_fract_y
_atom_site_fract_z
Sr1 0.0000 0.0000 0.0000
Pa1 0.0000 0.0000 0.5000
Si1 0.3333 0.6667 0.7556
S1 0.0014 0.3344 0.6869
S2 0.3333 0.6667 0.9913